Entry 1:
Entry from Alexandria: an optimized crystal structure of Er8GaSe6 (PBE).

Output
The total energy comes out at -79.16 eV for the cell shown. Its space group is No. 147. The formation energy from raw total energies comes out at -1.248 eV per atom.

Unit cell a=3.983 b=10.414 c=10.414 alpha=120.00 beta=90.00 gamma=90.00
Fractional positions:
Er  0.748  0.967  0.276
Er  0.748  0.724  0.691
Er  0.748  0.309  0.033
Er  0.252  0.033  0.724
Er  0.252  0.276  0.309
Er  0.252  0.691  0.967
Er  0.748  0.333  0.667
Er  0.252  0.667  0.333
Ga  0.500  0.000  0.000
Se  0.749  0.649  0.130
Se  0.749  0.870  0.519
Se  0.749  0.481  0.351
Se  0.251  0.351  0.870
Se  0.251  0.130  0.481
Se  0.251  0.519  0.649


Entry 2:
Entry from Alexandria: an optimized crystal structure of NaLa2Cd (PBE).

Output
The value obtained for the formation enthalpy at 0 K is 0.066 eV per atom. Its energy above the most stable polymorph in this dataset is 108.5 meV per atom. The total energy comes out at -11.83 eV for the cell shown. Its space group is No. 166.

Unit cell a=3.589 b=3.589 c=12.785 alpha=81.93 beta=81.93 gamma=60.00
Fractional positions:
Na  0.000  0.000  0.000
Cd  0.500  0.500  0.500
La  0.097  0.097  0.709
La  0.903  0.903  0.291


Entry 3:
Entry from Alexandria: an optimized crystal structure of BaLaPb2 (PBE).

Output
The value obtained for the formation enthalpy at 0 K is -0.160 eV per atom. The total energy comes out at -14.91 eV for the cell shown. Its space group is No. 99.

Unit cell a=4.082 b=4.082 c=9.371 alpha=90.00 beta=90.00 gamma=90.00
Site moments in Bohr magnetons follow the coordinates.
Fractional positions:
Pb  0.000  0.000  0.028  0.01
Pb  0.500  0.500  0.195  0.01
Ba  0.000  0.000  0.459  0.01
La  0.500  0.500  0.818  0.15


Entry 4:
Entry from Alexandria: an optimized crystal structure of HoPdRhAu (PBE).

Output
The value obtained for the formation enthalpy at 0 K is -0.760 eV per atom. Its energy above the most stable polymorph in this dataset is 0.0 meV per atom. The total energy comes out at -23.44 eV for the cell shown. Its space group is No. 47.

Unit cell a=4.202 b=3.925 c=4.282 alpha=90.00 beta=90.00 gamma=90.00
Fractional positions:
Ho  0.000  0.000  0.000
Pd  0.000  0.500  0.500
Rh  0.500  0.500  0.000
Au  0.500  0.000  0.500


Entry 5:
Entry from Alexandria: an optimized crystal structure of ZrIrW2 (PBE).

Output
The value obtained for the formation enthalpy at 0 K is 0.165 eV per atom. Its energy above the most stable polymorph in this dataset is 293.4 meV per atom. The total energy comes out at -42.66 eV for the cell shown. Its space group is No. 65.

Unit cell a=5.265 b=5.265 c=2.802 alpha=90.00 beta=90.00 gamma=118.30
Fractional positions:
Ir  0.000  0.500  0.500
W  0.000  0.000  0.000
W  0.500  0.500  0.000
Zr  0.500  0.000  0.500


Entry 6:
Entry from Alexandria: an optimized crystal structure of Ca2CrP2N6 (PBE).

Output
The total energy comes out at -80.03 eV for the cell shown. Its space group is No. 166. The formation energy from raw total energies comes out at -0.512 eV per atom.

Unit cell a=5.429 b=5.429 c=6.200 alpha=64.04 beta=64.04 gamma=60.00
Site moments in Bohr magnetons follow the coordinates.
Fractional positions:
Ca  0.794  0.794  0.617  0.01
Ca  0.206  0.206  0.383  0.01
Cr  0.000  0.000  0.000  2.25
P  0.408  0.408  0.777  0.02
P  0.592  0.592  0.223  0.02
N  0.754  0.754  0.239  -0.06
N  0.253  0.754  0.239  -0.06
N  0.754  0.253  0.239  -0.06
N  0.246  0.747  0.761  -0.06
N  0.747  0.246  0.761  -0.06
N  0.246  0.246  0.761  -0.06


Entry 7:
Entry from Alexandria: an optimized crystal structure of CeZn6Ni2 (PBE).

Output
The value obtained for the formation enthalpy at 0 K is -0.050 eV per atom. The total energy comes out at -25.59 eV for the cell shown. Its space group is No. 12.

Unit cell a=4.468 b=6.826 c=6.826 alpha=49.94 beta=71.12 gamma=71.12
Site moments in Bohr magnetons follow the coordinates.
Fractional positions:
Ce  0.000  0.000  0.000  0.53
Zn  0.293  0.966  0.447  0.00
Zn  0.707  0.034  0.553  0.00
Zn  0.707  0.553  0.034  0.00
Zn  0.500  0.301  0.699  0.00
Zn  0.500  0.699  0.301  0.00
Zn  0.293  0.447  0.966  0.00
Ni  0.108  0.392  0.392  -0.02
Ni  0.892  0.608  0.608  -0.02


Entry 8:
Entry from Alexandria: an optimized crystal structure of Hf3TiH (PBE).

Output
The total energy comes out at -41.27 eV for the cell shown. Its space group is No. 221.

Unit cell a=4.422 b=4.422 c=4.422 alpha=90.00 beta=90.00 gamma=90.00
Fractional positions:
H  0.000  0.000  0.000
Hf  0.000  0.500  0.000
Hf  0.000  0.000  0.500
Hf  0.500  0.000  0.000
Ti  0.500  0.500  0.500


Entry 9:
Entry from Alexandria: an optimized crystal structure of PmMgHg (PBE).

Output
The value obtained for the formation enthalpy at 0 K is -0.334 eV per atom. Its energy above the most stable polymorph in this dataset is 76.1 meV per atom. The total energy comes out at -7.65 eV for the cell shown. Its space group is No. 187.

Unit cell a=3.518 b=5.023 c=5.023 alpha=120.00 beta=90.00 gamma=90.00
Fractional positions:
Mg  0.167  0.000  0.000
Hg  0.166  0.333  0.667
Pm  0.667  0.667  0.333


Entry 10:
Entry from Alexandria: an optimized crystal structure of Mg6AgPd3 (PBE).

Output
The value obtained for the formation enthalpy at 0 K is -0.376 eV per atom. Its energy above the most stable polymorph in this dataset is 122.5 meV per atom. The total energy comes out at -63.51 eV for the cell shown. Its space group is No. 14.

Unit cell a=7.195 b=6.690 c=7.965 alpha=90.00 beta=92.14 gamma=90.00
Fractional positions:
Mg  0.649  0.152  0.934
Mg  0.664  0.132  0.563
Mg  0.772  0.387  0.250
Mg  0.228  0.613  0.750
Mg  0.336  0.868  0.437
Mg  0.351  0.848  0.066
Mg  0.149  0.348  0.434
Mg  0.164  0.368  0.063
Mg  0.272  0.113  0.750
Mg  0.728  0.887  0.250
Mg  0.836  0.632  0.937
Mg  0.851  0.652  0.566
Ag  0.500  0.500  0.500
Ag  0.000  0.000  0.000
Pd  0.541  0.821  0.751
Pd  0.500  0.500  0.000
Pd  0.459  0.179  0.249
Pd  0.041  0.679  0.251
Pd  0.000  0.000  0.500
Pd  0.959  0.321  0.749


Entry 11:
Entry from Alexandria: an optimized crystal structure of Al3Tl (PBE).

Output
The value obtained for the formation enthalpy at 0 K is 0.225 eV per atom. Its energy above the most stable polymorph in this dataset is 52.1 meV per atom. The total energy comes out at -12.69 eV for the cell shown. Its space group is No. 12.

Unit cell a=4.699 b=4.699 c=6.247 alpha=81.53 beta=81.53 gamma=38.82
Fractional positions:
Tl  0.000  0.000  0.000
Al  0.500  0.500  0.500
Al  0.761  0.761  0.692
Al  0.239  0.239  0.308


Entry 12:
Entry from Alexandria: an optimized crystal structure of Rb2InBi2Pb (PBE).

Output
The value obtained for the formation enthalpy at 0 K is -0.261 eV per atom. The total energy comes out at -35.42 eV for the cell shown. Its space group is No. 72.

Unit cell a=7.977 b=7.790 c=9.994 alpha=112.94 beta=113.52 gamma=90.00
Fractional positions:
Rb  0.411  0.166  0.332
Rb  0.589  0.834  0.668
Rb  0.079  0.334  0.668
Rb  0.921  0.666  0.332
In  0.000  0.750  0.000
In  0.000  0.250  0.000
Bi  0.861  0.098  0.195
Bi  0.335  0.598  0.195
Bi  0.665  0.402  0.805
Bi  0.139  0.902  0.805
Pb  0.500  0.750  0.000
Pb  0.500  0.250  0.000